--- a ---
BaHfAs3 after structural relaxation, computed with GGA-PBE.

Cell and atoms, written as POSCAR:
```
BaHfAs3
1.0
-5.015 -1.202 -0.845
0.138 -3.376 3.986
-1.463 3.803 3.271
As Hf Ba
3 1 1
direct
0.000 0.500 0.000
0.000 0.000 0.500
0.500 0.000 0.000
0.000 0.000 0.000
0.500 0.500 0.500
```

Values from the calculation:
As for the space-group type: No. 221. As for the crystal system: cubic.

--- b ---
BaHfAs3 after structural relaxation, computed with GGA-PBE.

Cell and atoms, written as POSCAR:
```
BaHfAs3
1.0
-1.576 -0.192 -5.297
-5.163 -1.194 1.580
-1.199 5.396 0.161
As Hf Ba
3 1 1
direct
0.000 0.500 0.000
0.000 0.000 0.500
0.500 0.000 0.000
0.500 0.500 0.500
0.000 0.000 0.000
```

Values from the calculation:
As for the space-group type: No. 221. As for the crystal system: cubic.

Which structure is the most stable? The one labeled a.

--- a ---
BaHfAs2Se after structural relaxation, computed with GGA-PBE.

Cell and atoms, written as POSCAR:
```
BaHfAs2Se
1.0
-1.723 0.280 5.188
-4.407 -2.974 -1.303
2.891 -4.818 1.220
As Hf Ba Se
2 1 1 1
direct
0.000 0.500 0.000
0.500 0.000 0.000
0.500 0.500 0.500
0.000 0.000 0.000
0.000 0.000 0.500
```

Values from the calculation:
As for the space-group type: No. 123. As for the crystal system: tetragonal.

--- b ---
BaHfAs2Se after structural relaxation, computed with GGA-PBE.

Cell and atoms, written as POSCAR:
```
BaHfAs2Se
1.0
-2.117 1.444 4.539
-4.763 -0.742 -1.986
0.097 -5.025 1.644
As Hf Ba Se
2 1 1 1
direct
0.000 0.500 0.000
0.500 0.000 0.000
0.000 0.000 0.000
0.500 0.500 0.500
0.000 0.000 0.500
```

Values from the calculation:
As for the space-group type: No. 123. As for the crystal system: tetragonal.

Which structure is the most stable? The one labeled b.

--- a ---
Ba2HgAs after structural relaxation, computed with GGA-PBE.

Cell and atoms, written as POSCAR:
```
Ba2HgAs
1.0
8.933 0.000 0.000
0.000 8.933 0.000
4.467 4.467 4.290
As Hg Ba
2 2 4
direct
0.500 0.500 0.000
0.250 0.750 0.500
0.000 0.000 0.000
0.750 0.250 0.500
0.591 0.125 0.250
0.159 0.625 0.250
0.375 0.409 0.750
0.875 0.841 0.750
```

Values from the calculation:
As for the space-group type: No. 122. As for the crystal system: tetragonal.

--- b ---
Ba2HgAs after structural relaxation, computed with GGA-PBE.

Cell and atoms, written as POSCAR:
```
Ba2HgAs
1.0
-3.877 -3.226 -4.268
-0.320 -5.998 -2.752
-2.841 -1.581 3.776
As Hg Ba
1 1 2
direct
0.706 0.706 0.874
0.542 0.542 0.376
0.994 0.994 0.876
0.258 0.258 0.374
```

Values from the calculation:
As for the space-group type: No. 8. As for the crystal system: monoclinic.

Which structure is the most stable? The one labeled b.